A relaxed ScZnCoIr crystal. Source: OQMD via LeMat-Bulk, functional PBE.

The space group is F-43m (No. 216) and the conventional cell measures 6.224, 6.224 and 6.224 Å, with angles of 90.00, 90.00 and 90.00 degrees. Symmetry generates all atoms from Sc at (0.000, 0.000, 0.000), Zn at (0.250, 0.250, 0.250), Co at (0.000, 0.000, 0.500) and Ir at (0.250, 0.250, 0.750).

As for the formation energy: -0.21 eV/atom. The relative energy among the computed polymorphs comes out at 18.0 kJ/mol of atoms.



A relaxed CdAsPdO crystal. Source: OQMD via LeMat-Bulk, functional PBE.

The space group is Pmc2_1 (No. 26) and the conventional cell measures 3.594, 6.573 and 5.953 Å, with angles of 90.00, 90.00 and 90.00 degrees. Symmetry generates all atoms from Cd at (0.000, 0.080, 0.000), As at (0.000, 0.322, 0.462), Pd at (0.500, 0.498, 0.711) and O at (0.500, 0.273, 0.962).

The relative energy among the computed polymorphs comes out at 4.9 kJ/mol of atoms.



A relaxed PmPaGa crystal. Source: OQMD via LeMat-Bulk, functional PBE.

The space group is F-43m (No. 216) and the conventional cell measures 7.020, 7.020 and 7.020 Å, with angles of 90.00, 90.00 and 90.00 degrees. Symmetry generates all atoms from Pm at (0.000, 0.000, 0.000), Pa at (0.250, 0.250, 0.750) and Ga at (0.000, 0.000, 0.500).



A relaxed BaSrCdS3 crystal. Source: OQMD via LeMat-Bulk, functional PBE.

The space group is Pnma (No. 62) and the conventional cell measures 8.932, 4.337 and 16.750 Å, with angles of 90.00, 90.00 and 90.00 degrees. Symmetry generates all atoms from Ba at (0.076, 0.250, 0.211), Sr at (0.240, 0.250, 0.958), Cd at (0.119, 0.250, 0.629), S at (0.021, 0.250, 0.407), S at (0.125, 0.750, 0.063) and S at (0.187, 0.250, 0.778).



no.,final energy (eV/atom)
1,-6.097
2,-4.279
3,-5.058
4,-4.405